Entry 1:
PBE HfTlZn2, relaxed; N(E_F) = 0.344 states/eV/atom; energy of formation = -0.029 eV/atom; volume = 18.703 Å³/atom
1.0
4.247 0.000 0.000
0.000 4.247 0.000
0.000 0.000 4.148
Hf Tl Zn
1 1 2
direct
0.000 0.000 0.000
0.500 0.500 0.000
0.000 0.500 0.500
0.500 0.000 0.500

Entry 2:
PBE CdHg2MoRh, relaxed; N(E_F) = 0.554 states/eV/atom; energy of formation = 1.490 eV/atom; volume = 27.168 Å³/atom
1.0
5.189 0.000 0.000
0.000 5.189 0.000
0.000 0.000 5.044
Cd Hg Mo Rh
1 2 1 1
direct
0.000 0.000 0.000
0.000 0.500 0.000
0.500 0.000 0.000
0.500 0.500 0.500
0.000 0.000 0.500

Entry 3:
PBE CeErZnAu, relaxed; N(E_F) = 1.967 states/eV/atom; energy of formation = -0.501 eV/atom; volume = 23.498 Å³/atom
1.0
3.574 0.000 0.000
0.000 3.574 0.000
0.000 0.000 7.360
Ce Er Zn Au
1 1 1 1
direct
0.000 0.000 0.000
0.000 0.000 0.496
0.500 0.500 0.261
0.500 0.500 0.718

Entry 4:
PBE LaNdI4, relaxed; energy relative to the elements, uncorrected = -1.24 eV per atom; N(E_F) = 0.419 states/eV/atom; volume = 37.940 Å³/atom
1.0
5.163 -7.383 0.000
5.163 7.383 0.000
-5.040 0.000 5.972
La Nd I
2 2 8
direct
0.016 0.984 0.750
0.984 0.016 0.250
0.367 0.633 0.750
0.633 0.367 0.250
0.056 0.682 0.399
0.253 0.370 0.242
0.318 0.944 0.101
0.370 0.253 0.742
0.630 0.747 0.258
0.682 0.056 0.899
0.747 0.630 0.758
0.944 0.318 0.601

Entry 5:
PBE Nd5TmTl8, relaxed; N(E_F) = 0.874 states/eV/atom; energy of formation = -0.285 eV/atom; volume = 30.314 Å³/atom
1.0
-4.764 4.764 4.675
4.764 -4.764 4.675
4.764 4.764 -4.675
Nd Tm Tl
5 1 8
direct
0.000 0.000 0.000
0.131 0.491 0.876
0.509 0.386 0.640
0.614 0.254 0.124
0.746 0.869 0.360
0.250 0.750 0.500
0.039 0.299 0.410
0.201 0.107 0.732
0.370 0.961 0.260
0.375 0.469 0.268
0.531 0.799 0.906
0.701 0.111 0.740
0.889 0.630 0.590
0.893 0.625 0.094

Entry 6:
PBE Li2Ni2Rh, relaxed; N(E_F) = 0.689 states/eV/atom; energy of formation = 0.095 eV/atom; volume = 11.391 Å³/atom
1.0
6.576 0.000 0.000
0.000 6.576 0.000
0.000 0.000 2.634
Li Ni Rh
4 4 2
direct
0.116 0.384 0.000
0.384 0.884 0.000
0.616 0.116 0.000
0.884 0.616 0.000
0.188 0.688 0.500
0.312 0.188 0.500
0.688 0.812 0.500
0.812 0.312 0.500
0.000 0.000 0.000
0.500 0.500 0.000

Entry 7:
PBE Dy2ErTl9, relaxed; N(E_F) = 0.222 states/eV/atom; energy of formation = -0.223 eV/atom; volume = 26.983 Å³/atom
1.0
4.761 0.000 0.000
0.000 4.761 0.000
0.000 0.000 14.284
Dy Er Tl
2 1 9
direct
0.000 0.000 0.167
0.000 0.000 0.833
0.000 0.000 0.500
0.000 0.500 0.000
0.000 0.500 0.334
0.000 0.500 0.666
0.500 0.000 0.000
0.500 0.000 0.334
0.500 0.000 0.666
0.500 0.500 0.167
0.500 0.500 0.500
0.500 0.500 0.833

Entry 8:
PBE BaScHg2, relaxed; N(E_F) = 0.696 states/eV/atom; energy of formation = -0.397 eV/atom; volume = 28.058 Å³/atom
1.0
3.692 0.000 0.000
0.000 3.760 0.000
-0.031 0.000 8.084
Ba Sc Hg
1 1 2
direct
0.000 0.000 0.000
0.000 0.000 0.500
0.500 0.500 0.304
0.500 0.500 0.696

Entry 9:
PBE PuAu6, relaxed; N(E_F) = 3.534 states/eV/atom; energy of formation = 0.450 eV/atom; volume = 29.323 Å³/atom
1.0
7.432 0.000 0.000
0.000 7.432 0.000
0.000 0.000 7.432
Pu Au
2 12
direct
0.000 0.000 0.000
0.500 0.500 0.500
0.000 0.250 0.500
0.000 0.500 0.250
0.000 0.500 0.750
0.000 0.750 0.500
0.250 0.000 0.500
0.250 0.500 0.000
0.500 0.000 0.250
0.500 0.000 0.750
0.500 0.250 0.000
0.500 0.750 0.000
0.750 0.000 0.500
0.750 0.500 0.000

Entry 10:
PBE Cs2H5N, relaxed; N(E_F) = 0.000 states/eV/atom; volume = 21.330 Å³/atom; energy = -28.84 eV/cell
1.0
4.487 0.000 0.000
2.182 5.233 0.000
0.009 0.988 7.267
Cs H N
2 5 1
direct
0.000 0.000 0.000
0.304 0.397 0.391
0.288 0.431 0.954
0.559 0.521 0.779
0.586 0.836 0.316
0.671 0.672 0.594
0.931 0.521 0.779
0.748 0.515 0.695

Entry 11:
PBE BaTaTe2I, relaxed; energy relative to the elements, uncorrected = -0.53 eV per atom; N(E_F) = 0.651 states/eV/atom; volume = 34.775 Å³/atom
1.0
5.513 0.000 0.000
0.000 5.513 0.000
0.000 0.000 5.720
Ba Ta Te I
1 1 2 1
direct
0.000 0.000 0.000
0.500 0.500 0.500
0.000 0.500 0.500
0.500 0.000 0.500
0.500 0.500 0.000

Entry 12:
PBE CaSbAs2, relaxed; energy relative to the elements, uncorrected = -0.29 eV per atom; N(E_F) = 0.529 states/eV/atom; volume = 23.812 Å³/atom
1.0
4.070 0.000 0.000
0.000 5.258 0.000
0.000 0.000 8.901
Ca Sb As
2 2 4
direct
0.000 0.000 0.000
0.500 0.500 0.500
0.000 0.000 0.500
0.500 0.500 0.000
0.000 0.500 0.234
0.000 0.500 0.766
0.500 0.000 0.266
0.500 0.000 0.734

Entry 13:
PBE PmGa6Ni2, relaxed; N(E_F) = 0.532 states/eV/atom; energy of formation = -0.030 eV/atom; volume = 21.016 Å³/atom
1.0
0.000 5.740 5.740
5.740 0.000 5.740
5.740 5.740 0.000
Pm Ga Ni
2 12 4
direct
0.125 0.125 0.125
0.875 0.875 0.875
0.144 0.144 0.606
0.144 0.606 0.144
0.144 0.606 0.606
0.394 0.394 0.856
0.394 0.856 0.394
0.394 0.856 0.856
0.606 0.144 0.144
0.606 0.144 0.606
0.606 0.606 0.144
0.856 0.394 0.394
0.856 0.394 0.856
0.856 0.856 0.394
0.000 0.500 0.500
0.500 0.000 0.500
0.500 0.500 0.000
0.500 0.500 0.500

Entry 14:
PBE K2ZrAgS4, relaxed; energy relative to the elements, uncorrected = -1.04 eV per atom; N(E_F) = 0.492 states/eV/atom; volume = 25.109 Å³/atom
1.0
7.407 0.000 0.000
0.000 3.805 0.000
-3.074 0.000 7.127
K Zr Ag S
2 1 1 4
direct
0.000 0.000 0.000
0.500 0.500 0.000
0.000 0.500 0.500
0.500 0.000 0.500
0.193 0.000 0.721
0.263 0.500 0.345
0.737 0.500 0.655
0.807 0.000 0.279

Entry 15:
PBE Pr6Y3Ho2In, relaxed; N(E_F) = 1.194 states/eV/atom; energy of formation = -0.030 eV/atom; volume = 33.011 Å³/atom
1.0
3.124 -5.428 0.000
3.124 5.428 0.000
-2.115 0.000 11.681
Pr Y Ho In
6 3 2 1
direct
0.082 0.409 0.746
0.245 0.245 0.253
0.409 0.082 0.746
0.591 0.918 0.254
0.755 0.755 0.747
0.918 0.591 0.254
0.167 0.833 0.000
0.500 0.500 0.000
0.833 0.167 0.000
0.334 0.666 0.500
0.666 0.334 0.500
0.000 0.000 0.500

Entry 16:
PBE BaTaRe, relaxed; N(E_F) = 1.340 states/eV/atom; energy of formation = 0.604 eV/atom; volume = 25.539 Å³/atom
1.0
3.367 0.000 0.000
0.000 3.367 0.000
0.000 0.000 13.515
Ba Ta Re
2 2 2
direct
0.000 0.000 0.000
0.500 0.500 0.500
0.000 0.000 0.272
0.500 0.500 0.772
0.000 0.000 0.689
0.500 0.500 0.189

Entry 17:
PBE InW, relaxed; N(E_F) = 0.369 states/eV/atom; energy of formation = 0.479 eV/atom; volume = 20.459 Å³/atom
1.0
9.468 0.000 0.000
0.000 3.118 0.000
0.000 0.000 11.090
In W
8 8
direct
0.109 0.250 0.083
0.161 0.750 0.776
0.339 0.250 0.276
0.391 0.750 0.583
0.609 0.250 0.417
0.661 0.750 0.724
0.839 0.250 0.224
0.891 0.750 0.917
0.075 0.750 0.338
0.136 0.250 0.514
0.364 0.750 0.014
0.425 0.250 0.838
0.575 0.750 0.162
0.636 0.250 0.986
0.864 0.750 0.486
0.925 0.250 0.662

Entry 18:
PBE LiAl2W, relaxed; N(E_F) = 0.766 states/eV/atom; energy of formation = -0.074 eV/atom; volume = 15.128 Å³/atom
1.0
4.616 0.000 0.000
0.000 4.616 0.000
0.000 0.000 2.840
Li Al W
1 2 1
direct
0.000 0.000 0.000
0.000 0.500 0.500
0.500 0.000 0.500
0.500 0.500 0.000

Entry 19:
PBE Al4CrSe, relaxed; energy relative to the elements, uncorrected = 0.29 eV per atom; N(E_F) = 0.756 states/eV/atom; volume = 17.320 Å³/atom
1.0
0.000 3.732 3.732
3.732 0.000 3.732
3.732 3.732 0.000
Al Cr Se
4 1 1
direct
0.124 0.124 0.124
0.124 0.124 0.628
0.124 0.628 0.124
0.628 0.124 0.124
0.750 0.750 0.750
0.500 0.500 0.500

Entry 20:
PBE ZrPRu2, relaxed; N(E_F) = 1.475 states/eV/atom; energy of formation = -0.008 eV/atom; volume = 15.865 Å³/atom
1.0
2.963 0.000 0.000
-1.482 2.566 0.000
0.000 0.000 25.039
Zr P Ru
3 3 6
direct
0.000 0.000 0.000
0.333 0.667 0.667
0.667 0.333 0.333
0.000 0.000 0.758
0.333 0.667 0.424
0.667 0.333 0.091
0.000 0.000 0.243
0.000 0.000 0.487
0.333 0.667 0.154
0.333 0.667 0.910
0.667 0.333 0.577
0.667 0.333 0.821

Entry 21:
PBE NpAlGaAg, relaxed; N(E_F) = 1.972 states/eV/atom; energy of formation = 0.087 eV/atom; volume = 19.827 Å³/atom
1.0
6.820 0.000 0.000
0.000 6.820 0.000
0.000 0.000 6.820
Np Al Ga Ag
4 4 4 4
direct
0.000 0.000 0.000
0.000 0.500 0.500
0.500 0.000 0.500
0.500 0.500 0.000
0.250 0.250 0.750
0.250 0.750 0.250
0.750 0.250 0.250
0.750 0.750 0.750
0.250 0.250 0.250
0.250 0.750 0.750
0.750 0.250 0.750
0.750 0.750 0.250
0.000 0.000 0.500
0.000 0.500 0.000
0.500 0.000 0.000
0.500 0.500 0.500

Entry 22:
PBE TbPm12Pr7, relaxed; N(E_F) = 1.984 states/eV/atom; energy of formation = 0.215 eV/atom; volume = 35.598 Å³/atom
1.0
6.164 3.559 5.410
-6.164 3.559 5.410
0.000 -7.117 5.410
Tb Pm Pr
1 12 7
direct
0.000 0.000 0.000
0.135 0.493 0.616
0.146 0.748 0.275
0.252 0.725 0.854
0.275 0.146 0.748
0.384 0.865 0.507
0.493 0.616 0.135
0.507 0.384 0.865
0.616 0.135 0.493
0.725 0.854 0.252
0.748 0.275 0.146
0.854 0.252 0.725
0.865 0.507 0.384
0.078 0.151 0.396
0.151 0.396 0.078
0.396 0.078 0.151
0.500 0.500 0.500
0.604 0.922 0.849
0.849 0.604 0.922
0.922 0.849 0.604

Entry 23:
PBE Cd2In7Hg2, relaxed; N(E_F) = 0.418 states/eV/atom; energy of formation = 0.058 eV/atom; volume = 27.634 Å³/atom
1.0
-2.530 5.409 5.552
2.530 -5.409 5.552
2.530 5.409 -5.552
Cd In Hg
2 7 2
direct
0.000 0.000 0.000
0.747 0.247 0.500
0.159 0.503 0.656
0.329 0.996 0.333
0.488 0.488 0.000
0.575 0.749 0.826
0.662 0.996 0.667
0.847 0.503 0.344
0.923 0.749 0.174
0.096 0.244 0.852
0.393 0.244 0.148

Entry 24:
PBE NdSmRu, relaxed; N(E_F) = 0.825 states/eV/atom; energy of formation = -0.023 eV/atom; volume = 25.000 Å³/atom
1.0
4.764 0.000 0.000
-2.382 4.125 0.000
0.000 0.000 3.816
Nd Sm Ru
1 1 1
direct
0.000 0.000 0.000
0.667 0.333 0.552
0.333 0.667 0.289